Here is an optimized crystal structure of MnOs2Br from the Alexandria database. Energies are from PBE-GGA.

The calculation puts the volume at 15.7 Å³/atom. The density of states at the Fermi level comes out at 3.329 states/eV/f.u. The value obtained for the offset from the most stable computed form is 253 meV per atom. For the uncorrected formation energy, the calculation gives 0.8286 eV per atom. Its density is 13.64 g/cm3.

The structure belongs to space group P4/mmm (No. 123); the cell edges are 3.041, 3.041 and 6.785 Å and the angles 90.00°, 90.00° and 90.00°. The distinct sites, in fractional coordinates, are Mn at (0.000, 0.000, 0.000), Os at (0.500, 0.500, 0.199) and Br at (0.000, 0.000, 0.500).